## Ga3TeW (GGA-PBEsol)

Data for a relaxed structure of Ga3TeW.

The space group is Pm-3m (No. 221) and the conventional cell measures 5.1425, 5.1425 and 5.1425 Å, with angles of 90.00, 90.00 and 90.00 degrees. Symmetry generates all atoms from Ga at (0.0000, 0.0000, 0.5000), Te at (0.0000, 0.0000, 0.0000) and W at (0.5000, 0.5000, 0.5000).

The calculation puts the mass density at 6.36 g/cm³. For the uncorrected formation energy, the calculation gives 1.82 eV/atom.